Compound: Na3Ac2YS6
Source: Alexandria via LeMat-Bulk
Functional: PBE
Structure: optimized geometry

Structure (CIF):
```
data_Na3Ac2YS6
_chemical_formula_sum 'Na6 Ac4 Y2 S12'
_cell_length_a 18.294
_cell_length_b 4.235
_cell_length_c 8.305
_cell_angle_alpha 90.00
_cell_angle_beta 101.28
_cell_angle_gamma 90.00
_space_group_name_H-M_alt 'C 1 2/m 1'
_space_group_IT_number 12
loop_
_space_group_symop_operation_xyz
'x,y,z'
'-x,-y,-z'
'-x,y,-z'
'x,-y,z'
'x+1/2,y+1/2,z'
'-x+1/2,-y+1/2,-z'
'-x+1/2,y+1/2,-z'
'x+1/2,-y+1/2,z'
loop_
_atom_site_label
_atom_site_type_symbol
_atom_site_fract_x
_atom_site_fract_y
_atom_site_fract_z
Na1 Na 0.000 0.000 0.000
Na2 Na 0.159 0.500 0.327
Ac1 Ac 0.165 0.500 0.823
Y1 Y 0.000 0.000 0.500
S1 S 0.001 0.500 0.725
S2 S 0.155 0.000 0.572
S3 S 0.168 0.000 0.077
```

Output
- VASP energy (eV per atom) = -5.4268
- uncorrected formation energy (eV/atom) = -1.810